# BaCrIrI2 | Alexandria | PBE | optimized geometry
data_BaCrIrI2
_chemical_formula_sum 'Ba1 Cr1 Ir1 I2'
_space_group_name_H-M_alt 'P 4/m m m'
_space_group_IT_number 123
_space_group_name_Hall '-P 4 2'
_cell_length_a 5.543
_cell_length_b 5.543
_cell_length_c 4.802
_cell_angle_alpha 90.00
_cell_angle_beta 90.00
_cell_angle_gamma 90.00
loop_
_atom_site_label
_atom_site_type_symbol
_atom_site_fract_x
_atom_site_fract_y
_atom_site_fract_z
Ba1 Ba 0.000 0.000 0.000
Cr1 Cr 0.500 0.500 0.500
Ir1 Ir 0.500 0.500 0.000
I1 I 0.000 0.500 0.500
# E: -4.78 eV/atom
# Energy relative to the lowest polymorph listed for this composition: 0 meV/atom
# E_form (uncorrected): -37 kJ/mol of formula units